Arrangement A

A plane-wave DFT calculation with PBE was carried out for an optimized crystal structure of KMn2Ir.

Computed properties:
**SG**: P4mm, No. 99

Geometry as extended XYZ:
```
4
Lattice="-0.816 0.328 2.777 -2.220 -1.836 -0.435 5.065 -6.662 2.276" Properties=species:S:1:pos:R:3 pbc="T T T"
Mn -0.188 -2.502 1.768
Mn 0.410 -0.540 0.184
Ir 2.156 -2.836 0.969
K 2.184 -5.623 2.835
```

---

Arrangement B

A plane-wave DFT calculation with PBE was carried out for an optimized crystal structure of KMn2Ir.

Computed properties:
**SG**: Immm, No. 71

Geometry as extended XYZ:
```
4
Lattice="6.289 -0.015 0.006 3.123 5.459 -0.006 -3.753 -4.369 2.525" Properties=species:S:1:pos:R:3 pbc="T T T"
Ir 2.038 1.906 1.259
Mn 4.199 2.428 0.000
Mn 0.507 0.293 0.000
K 3.621 -0.832 1.266
```

---

The structure with the least stability is arrangement B.

---

Arrangement A

A plane-wave DFT calculation with PBE was carried out for an optimized crystal structure of RhSe2Br.

Computed properties:
**SG**: R3m, No. 160

Geometry as extended XYZ:
```
4
Lattice="9.159 0.012 0.007 8.491 3.434 0.007 8.491 1.658 3.007" Properties=species:S:1:pos:R:3 pbc="T T T"
Br 12.305 2.402 1.422
Rh 19.323 3.772 2.233
Se 0.607 0.118 0.070
Se 6.978 1.362 0.806
```

---

Arrangement B

A plane-wave DFT calculation with PBE was carried out for an optimized crystal structure of RhSe2Br.

Computed properties:
**SG**: P2/m, No. 10

Geometry as extended XYZ:
```
4
Lattice="-3.588 -0.552 1.120 -0.948 -2.241 -4.139 0.704 -5.745 -0.574" Properties=species:S:1:pos:R:3 pbc="T T T"
Se -0.089 -4.675 -2.589
Se -0.276 -7.303 -4.481
Rh -1.977 -6.265 -2.975
Br -1.855 -2.272 -0.618
```

---

The structure with the least stability is arrangement A.

---

Arrangement A

A plane-wave DFT calculation with PBE was carried out for an optimized crystal structure of LiAl2W.

Computed properties:
**SG**: Imm2, No. 44

Geometry as extended XYZ:
```
4
Lattice="5.352 -0.008 0.004 2.697 4.623 -0.004 -3.470 -3.275 2.425" Properties=species:S:1:pos:R:3 pbc="T T T"
Al 1.645 1.839 1.210
Al 0.001 0.000 0.000
Li 3.994 2.290 0.000
W 2.964 -0.481 1.215
```

---

Arrangement B

A plane-wave DFT calculation with PBE was carried out for an optimized crystal structure of LiAl2W.

Computed properties:
**SG**: P4/mmm, No. 123

Geometry as extended XYZ:
```
4
Lattice="4.616 0.000 0.000 0.000 4.616 0.000 0.000 0.000 2.840" Properties=species:S:1:pos:R:3 pbc="T T T"
Al 2.308 2.308 0.000
Al 0.000 0.000 0.000
Li 2.308 0.000 1.420
W 0.000 2.308 1.420
```

---

The structure with the least stability is arrangement A.